No. 1
A plane-wave DFT calculation with PBE was carried out for a relaxed In2NF crystal.

Computed properties:
N(E_F) = 0.371 states/eV/atom
Crystal system = cubic
Total DFT energy (no corrections) = -4.00 eV per atom

abc: 6.253 6.253 6.253
angles: 90.00 90.00 90.00
Space group Fm-3m (No. 225)
Asymmetric unit:
In: 0.250 0.250 0.250 (multiplicity 8)
N: 0.000 0.000 0.000 (multiplicity 4)
F: 0.000 0.000 0.500 (multiplicity 4)

***

No. 2
A plane-wave DFT calculation with PBE was carried out for a relaxed InNF2 crystal.

Computed properties:
N(E_F) = 1.762 states/eV/atom
Crystal system = trigonal
Offset from the most stable computed form = 69.26 kJ/mol of atoms
Total DFT energy (no corrections) = -3.34 eV per atom

abc: 3.5239 3.5239 24.2471
angles: 90.00 90.00 120.00
Space group R-3m (No. 166, hexagonal axes)
Asymmetric unit:
In: 0.0000 0.0000 0.0000 (multiplicity 3)
N: 0.0000 0.0000 0.5000 (multiplicity 3)
F: 0.0000 0.0000 0.0818 (multiplicity 6)

***

No. 3
A plane-wave DFT calculation with PBE was carried out for a relaxed InN3F crystal.

Computed properties:
N(E_F) = 0.681 states/eV/atom
Crystal system = cubic
Total DFT energy (no corrections) = -3.43 eV per atom

abc: 3.712 3.712 3.712
angles: 90.00 90.00 90.00
Space group Pm-3m (No. 221)
Asymmetric unit:
In: 0.000 0.000 0.000 (multiplicity 1)
N: 0.000 0.500 0.500 (multiplicity 3)
F: 0.500 0.500 0.500 (multiplicity 1)

***

No. 4
A plane-wave DFT calculation with PBE was carried out for a relaxed In3NF crystal.

Computed properties:
N(E_F) = 0.830 states/eV/atom
Crystal system = cubic
Offset from the most stable computed form = 0.00 kJ/mol of atoms
Total DFT energy (no corrections) = -3.57 eV per atom

abc: 4.825 4.825 4.825
angles: 90.00 90.00 90.00
Space group Pm-3m (No. 221)
Asymmetric unit:
In: 0.000 0.000 0.500 (multiplicity 3)
N: 0.000 0.000 0.000 (multiplicity 1)
F: 0.500 0.500 0.500 (multiplicity 1)

***

No. 5
A plane-wave DFT calculation with PBE was carried out for a relaxed InNF2 crystal.

Computed properties:
N(E_F) = 0.000 states/eV/atom
Crystal system = trigonal
Offset from the most stable computed form = 42.37 kJ/mol of atoms
Total DFT energy (no corrections) = -3.62 eV per atom

abc: 3.5052 3.5052 21.0197
angles: 90.00 90.00 120.00
Space group R-3m (No. 166, hexagonal axes)
Asymmetric unit:
In: 0.0000 0.0000 0.0000 (multiplicity 3)
N: 0.0000 0.0000 0.5000 (multiplicity 3)
F: 0.0000 0.0000 0.4156 (multiplicity 6)

***

No. 6
A plane-wave DFT calculation with PBE was carried out for a relaxed In2N2F crystal.

Computed properties:
N(E_F) = 0.588 states/eV/atom
Crystal system = tetragonal
Offset from the most stable computed form = 0.00 kJ/mol of atoms
Total DFT energy (no corrections) = -4.68 eV per atom

abc: 6.427 6.427 2.990
angles: 90.00 90.00 90.00
Space group P4/mbm (No. 127)
Asymmetric unit:
In: 0.169 0.331 0.000 (multiplicity 4)
N: 0.138 0.638 0.500 (multiplicity 4)
F: 0.000 0.000 0.000 (multiplicity 2)

***

No. 7
A plane-wave DFT calculation with PBE was carried out for a relaxed InNF2 crystal.

Computed properties:
N(E_F) = 0.000 states/eV/atom
Crystal system = monoclinic
Offset from the most stable computed form = 0.00 kJ/mol of atoms
Total DFT energy (no corrections) = -4.06 eV per atom

abc: 11.068 3.532 8.158
angles: 90.00 97.61 90.00
Space group C2/m (No. 12)
Asymmetric unit:
In: 0.106 0.000 0.426 (multiplicity 4)
N: 0.123 0.000 0.886 (multiplicity 4)
F: 0.099 0.500 0.270 (multiplicity 4)
F: 0.202 0.500 0.595 (multiplicity 4)

***

No. 8
A plane-wave DFT calculation with PBE was carried out for a relaxed In2N2F crystal.

Computed properties:
N(E_F) = 0.440 states/eV/atom
Crystal system = tetragonal
Offset from the most stable computed form = 16.53 kJ/mol of atoms
Total DFT energy (no corrections) = -4.51 eV per atom

abc: 3.671 3.671 10.880
angles: 90.00 90.00 90.00
Space group I4/mmm (No. 139)
Asymmetric unit:
In: 0.000 0.000 0.131 (multiplicity 4)
N: 0.000 0.500 0.250 (multiplicity 4)
F: 0.000 0.000 0.500 (multiplicity 2)